Compound: TbYCd2Ag4
Source: the Open Quantum Materials Database
Functional: PBE
Structure: relaxed

Cell: 4.950 4.950 6.999 Å, 90.00 90.00 90.00°
Space group P4/mmm (No. 123)
Symmetry-distinct sites (fractional):
1 Tb 0.000 0.000 0.000
2 Y 0.500 0.500 0.500
3 Cd 0.000 0.000 0.500
4 Cd 0.500 0.500 0.000
5 Ag 0.000 0.500 0.250

DFT formation energy = -0.30 eV per atom
Total magnetization = 0.0 μB/f.u.
Crystal system = tetragonal
Final energy = -3.3240 eV/atom